[1]
Here is a relaxed structure of SmYInRh from the Alexandria database. Energies are from PBE.

CIF file:
```
data_SmYInRh
_chemical_formula_sum 'Sm1 Y1 In1 Rh1'
_space_group_name_H-M_alt 'P 1'
_space_group_IT_number 1
_space_group_name_Hall 'P 1'
_cell_length_a 5.1564
_cell_length_b 5.1564
_cell_length_c 5.1564
_cell_angle_alpha 60.00
_cell_angle_beta 60.00
_cell_angle_gamma 60.00
loop_
_atom_site_label
_atom_site_type_symbol
_atom_site_fract_x
_atom_site_fract_y
_atom_site_fract_z
Y1 Y 0.5000 0.5000 0.5000
Rh1 Rh 0.2500 0.2500 0.2500
Sm1 Sm 0.0000 0.0000 0.0000
In1 In 0.7500 0.7500 0.7500
```

**Fermi-level density of states**: 3.044 states/eV per cell
**Calculated formation energy**: -524 meV/atom



[2]
Here is a relaxed structure of La2PmSm5Ho from the Alexandria database. Energies are from PBE.

CIF file:
```
data_La2PmSm5Ho
_chemical_formula_sum 'La4 Pm2 Sm10 Ho2'
_space_group_name_H-M_alt 'P 1'
_space_group_IT_number 1
_space_group_name_Hall 'P 1'
_cell_length_a 8.7341
_cell_length_b 8.7341
_cell_length_c 10.2088
_cell_angle_alpha 115.33
_cell_angle_beta 115.33
_cell_angle_gamma 90.00
loop_
_atom_site_label
_atom_site_type_symbol
_atom_site_fract_x
_atom_site_fract_y
_atom_site_fract_z
La1 La 0.1191 0.3809 0.0000
La2 La 0.6191 0.1191 0.0000
La3 La 0.3809 0.8809 0.0000
La4 La 0.8809 0.6191 0.0000
Pm1 Pm 0.2500 0.2500 0.5000
Pm2 Pm 0.7500 0.7500 0.5000
Sm1 Sm 0.9247 0.4247 0.2847
Sm2 Sm 0.6400 0.1400 0.7153
Sm3 Sm 0.0753 0.5753 0.7153
Sm4 Sm 0.1400 0.0753 0.7153
Sm5 Sm 0.5753 0.6400 0.7153
Sm6 Sm 0.8600 0.9247 0.2847
Sm7 Sm 0.4247 0.3600 0.2847
Sm8 Sm 0.3600 0.8600 0.2847
Sm9 Sm 0.5000 0.5000 0.0000
Sm10 Sm 0.0000 0.0000 0.0000
Ho1 Ho 0.2500 0.7500 0.5000
Ho2 Ho 0.7500 0.2500 0.5000
```

**Fermi-level density of states**: 27.203 states/eV per cell
**Calculated formation energy**: 251 meV/atom



[3]
Here is a relaxed structure of SrZn2I2 from the Alexandria database. Energies are from PBE.

CIF file:
```
data_SrZn2I2
_chemical_formula_sum 'Sr1 Zn2 I2'
_space_group_name_H-M_alt 'P 1'
_space_group_IT_number 1
_space_group_name_Hall 'P 1'
_cell_length_a 4.0129
_cell_length_b 4.0129
_cell_length_c 10.9833
_cell_angle_alpha 79.47
_cell_angle_beta 79.47
_cell_angle_gamma 90.00
loop_
_atom_site_label
_atom_site_type_symbol
_atom_site_fract_x
_atom_site_fract_y
_atom_site_fract_z
I1 I 0.4089 0.4089 0.1822
I2 I 0.5911 0.5911 0.8178
Sr1 Sr 0.0000 0.0000 0.0000
Zn1 Zn 0.7500 0.2500 0.5000
Zn2 Zn 0.2500 0.7500 0.5000
```

**Fermi-level density of states**: 1.193 states/eV per cell
**Raw formation energy**: -669.9 meV/atom



[4]
Here is a relaxed structure of MgBrO2 from the Alexandria database. Energies are from PBE.

CIF file:
```
data_MgBrO2
_chemical_formula_sum 'Mg2 Br2 O4'
_space_group_name_H-M_alt 'P 1'
_space_group_IT_number 1
_space_group_name_Hall 'P 1'
_cell_length_a 5.6721
_cell_length_b 3.2763
_cell_length_c 8.4291
_cell_angle_alpha 89.11
_cell_angle_beta 66.69
_cell_angle_gamma 98.67
loop_
_atom_site_label
_atom_site_type_symbol
_atom_site_fract_x
_atom_site_fract_y
_atom_site_fract_z
Mg1 Mg 0.0951 0.6687 0.4039
Mg2 Mg 0.5402 0.2945 0.4607
Br1 Br 0.0634 0.5393 0.8058
Br2 Br 0.5721 0.4223 0.0586
O1 O 0.2856 0.7169 0.5724
O2 O 0.8021 0.8744 0.3543
O3 O 0.3498 0.2459 0.2921
O4 O 0.8334 0.0889 0.5102
```

**Fermi-level density of states**: 0.000 states/eV per cell
**E above lowest polymorph**: 0.089 eV/atom
**Raw formation energy**: -1125.1 meV/atom



[5]
Here is a relaxed structure of Tl2BiOsBr from the Alexandria database. Energies are from PBE.

CIF file:
```
data_Tl2BiOsBr
_chemical_formula_sum 'Tl2 Bi1 Os1 Br1'
_space_group_name_H-M_alt 'P 1'
_space_group_IT_number 1
_space_group_name_Hall 'P 1'
_cell_length_a 5.5614
_cell_length_b 4.7086
_cell_length_c 5.5614
_cell_angle_alpha 90.00
_cell_angle_beta 90.00
_cell_angle_gamma 90.00
loop_
_atom_site_label
_atom_site_type_symbol
_atom_site_fract_x
_atom_site_fract_y
_atom_site_fract_z
Tl1 Tl 0.0000 0.0000 0.5000
Tl2 Tl 0.5000 0.0000 0.0000
Os1 Os 0.0000 0.0000 0.0000
Bi1 Bi 0.5000 0.5000 0.5000
Br1 Br 0.0000 0.5000 0.0000
```

**Fermi-level density of states**: 6.445 states/eV per cell
**Raw formation energy**: 709.7 meV/atom



[6]
Here is a relaxed structure of Ca2SmZn from the Alexandria database. Energies are from PBE.

CIF file:
```
data_Ca2SmZn
_chemical_formula_sum 'Ca2 Sm1 Zn1'
_space_group_name_H-M_alt 'P 1'
_space_group_IT_number 1
_space_group_name_Hall 'P 1'
_cell_length_a 3.6166
_cell_length_b 3.6166
_cell_length_c 11.8608
_cell_angle_alpha 81.23
_cell_angle_beta 81.23
_cell_angle_gamma 60.00
loop_
_atom_site_label
_atom_site_type_symbol
_atom_site_fract_x
_atom_site_fract_y
_atom_site_fract_z
Zn1 Zn 0.5000 0.5000 0.5000
Ca1 Ca 0.1013 0.1013 0.6962
Ca2 Ca 0.8987 0.8987 0.3038
Sm1 Sm 0.0000 0.0000 0.0000
```

**Fermi-level density of states**: 5.528 states/eV per cell
**E above lowest polymorph**: 0.206 eV/atom
**Calculated formation energy**: 163 meV/atom